Entry 1:
Pa4P3C (PBE, optimized geometry); magnetic moment = 0.00 μB per atom; ΔH_f (0 K) = -1066 meV/atom; D(E_F) = 15.5 states/eV per cell; ΔE to the lowest computed polymorph = 0 meV/atom; crystal system = monoclinic
1.0
-1.124 4.313 -4.963
-5.027 -4.515 0.259
-3.902 4.626 4.904
Pa P C
8 6 2
direct
0.502 0.227 0.886
0.513 0.761 0.638
0.487 0.239 0.362
0.998 0.773 0.886
0.498 0.773 0.114
0.987 0.239 0.638
0.002 0.227 0.114
0.013 0.761 0.362
0.250 0.500 0.876
0.250 0.000 0.625
0.750 0.500 0.124
0.750 0.000 0.375
0.250 0.500 0.376
0.750 0.500 0.624
0.750 0.000 0.877
0.250 0.000 0.123

=====

Entry 2:
PaPC (PBE, optimized geometry); magnetic moment = 0.00 μB per atom; ΔH_f (0 K) = -196 meV/atom; D(E_F) = 1.8 states/eV per cell; ΔE to the lowest computed polymorph = 355 meV/atom; crystal system = monoclinic
1.0
-0.623 -0.856 3.192
-0.508 -2.971 -1.493
4.319 -1.026 0.564
P C Pa
1 1 1
direct
0.184 0.816 0.377
0.184 0.816 0.771
0.681 0.319 0.965

=====

Entry 3:
PuPaPC (PBE, optimized geometry); magnetic moment = 1.28 μB per atom; ΔH_f (0 K) = -544 meV/atom; D(E_F) = 8.2 states/eV per cell; crystal system = tetragonal
1.0
-0.766 2.753 2.449
-2.189 -2.352 1.959
4.315 -1.494 3.029
Pu P C Pa
1 1 1 1
direct
0.000 0.000 0.500
0.500 0.500 0.500
0.000 0.000 0.000
0.500 0.500 0.000